Record 1
## YBiAs (PBE-GGA)

Data for a relaxed structure of YBiAs.

Geometry as CIF:
```
data_YBiAs
_cell_length_a 3.955
_cell_length_b 3.955
_cell_length_c 23.182
_cell_angle_alpha 90.00
_cell_angle_beta 90.00
_cell_angle_gamma 90.00
_space_group_name_H-M_alt 'I 4/m m m'
_space_group_IT_number 139
_space_group_name_Hall '-I 4 2'
loop_
_atom_site_label
_atom_site_type_symbol
_atom_site_fract_x
_atom_site_fract_y
_atom_site_fract_z
_atom_site_occupancy
Y1 Y 0.000 0.000 0.170 1
Bi1 Bi 0.000 0.000 0.425 1
As1 As 0.000 0.000 0.303 1
```

Summary:
Theoretical density (g cm⁻³): 6.83
Uncorrected energy (eV/atom): -5.736
Calculated formation energy (eV per atom): -0.738

Record 2
## Y2BiAs (PBE-GGA)

Data for a relaxed structure of Y2BiAs.

Geometry as CIF:
```
data_Y2BiAs
_cell_length_a 7.993
_cell_length_b 7.993
_cell_length_c 7.104
_cell_angle_alpha 90.00
_cell_angle_beta 90.00
_cell_angle_gamma 90.00
_space_group_name_H-M_alt 'I -4 2 d'
_space_group_IT_number 122
_space_group_name_Hall 'I -4 2bw'
loop_
_atom_site_label
_atom_site_type_symbol
_atom_site_fract_x
_atom_site_fract_y
_atom_site_fract_z
_atom_site_occupancy
Y1 Y 0.222 0.250 0.125 1
Bi1 Bi 0.000 0.000 0.500 1
As1 As 0.000 0.000 0.000 1
```

Summary:
Theoretical density (g cm⁻³): 6.76
Uncorrected energy (eV/atom): -6.200
Calculated formation energy (eV per atom): -0.835

Record 3
## YBi2As (PBE-GGA)

Data for a relaxed structure of YBi2As.

Geometry as CIF:
```
data_YBi2As
_cell_length_a 7.651
_cell_length_b 7.651
_cell_length_c 7.651
_cell_angle_alpha 90.00
_cell_angle_beta 90.00
_cell_angle_gamma 90.00
_space_group_name_H-M_alt 'F m -3 m'
_space_group_IT_number 225
_space_group_name_Hall '-F 4 2 3'
loop_
_atom_site_label
_atom_site_type_symbol
_atom_site_fract_x
_atom_site_fract_y
_atom_site_fract_z
_atom_site_occupancy
Y1 Y 0.000 0.000 0.000 1
Bi1 Bi 0.250 0.250 0.250 1
As1 As 0.000 0.000 0.500 1
```

Summary:
Theoretical density (g cm⁻³): 8.63
Energy above the lowest structure with this stoichiometry (meV per atom): 0
Uncorrected energy (eV/atom): -4.749
Calculated formation energy (eV per atom): -0.030

Record 4
## Y3Bi2As (PBE-GGA)

Data for a relaxed structure of Y3Bi2As.

Geometry as CIF:
```
data_Y3Bi2As
_cell_length_a 4.371
_cell_length_b 4.371
_cell_length_c 18.507
_cell_angle_alpha 90.00
_cell_angle_beta 90.00
_cell_angle_gamma 90.00
_space_group_name_H-M_alt 'I 4/m m m'
_space_group_IT_number 139
_space_group_name_Hall '-I 4 2'
loop_
_atom_site_label
_atom_site_type_symbol
_atom_site_fract_x
_atom_site_fract_y
_atom_site_fract_z
_atom_site_occupancy
Y1 Y 0.000 0.000 0.000 1
Y2 Y 0.000 0.000 0.344 1
Bi1 Bi 0.000 0.000 0.170 1
As1 As 0.000 0.000 0.500 1
```

Summary:
Theoretical density (g cm⁻³): 7.13
Uncorrected energy (eV/atom): -6.373
Calculated formation energy (eV per atom): -1.072

Record 5
## Y2BiAs (PBE-GGA)

Data for a relaxed structure of Y2BiAs.

Geometry as CIF:
```
data_Y2BiAs
_cell_length_a 4.2254
_cell_length_b 4.2254
_cell_length_c 22.1027
_cell_angle_alpha 90.00
_cell_angle_beta 90.00
_cell_angle_gamma 120.00
_space_group_name_H-M_alt 'R 3 m'
_space_group_IT_number 160
_space_group_name_Hall 'R 3 -2"'
loop_
_atom_site_label
_atom_site_type_symbol
_atom_site_fract_x
_atom_site_fract_y
_atom_site_fract_z
_atom_site_occupancy
Y1 Y 0.0000 0.0000 0.0000 1
Y2 Y 0.0000 0.0000 0.1859 1
Bi1 Bi 0.0000 0.0000 0.7602 1
As1 As 0.0000 0.0000 0.5909 1
```

Summary:
Theoretical density (g cm⁻³): 6.73
Uncorrected energy (eV/atom): -6.479
Calculated formation energy (eV per atom): -1.114

Record 6
## YBi2As (PBE-GGA)

Data for a relaxed structure of YBi2As.

Geometry as CIF:
```
data_YBi2As
_cell_length_a 6.813
_cell_length_b 6.813
_cell_length_c 14.046
_cell_angle_alpha 90.00
_cell_angle_beta 90.00
_cell_angle_gamma 90.00
_space_group_name_H-M_alt 'I -4 2 d'
_space_group_IT_number 122
_space_group_name_Hall 'I -4 2bw'
loop_
_atom_site_label
_atom_site_type_symbol
_atom_site_fract_x
_atom_site_fract_y
_atom_site_fract_z
_atom_site_occupancy
Y1 Y 0.000 0.000 0.000 1
Bi1 Bi 0.223 0.250 0.625 1
As1 As 0.000 0.000 0.500 1
```

Summary:
Theoretical density (g cm⁻³): 5.93
Energy above the lowest structure with this stoichiometry (meV per atom): 96
Uncorrected energy (eV/atom): -4.653
Calculated formation energy (eV per atom): 0.066

Record 7
## Y2BiAs (PBE-GGA)

Data for a relaxed structure of Y2BiAs.

Geometry as CIF:
```
data_Y2BiAs
_cell_length_a 4.2627
_cell_length_b 4.2627
_cell_length_c 21.4060
_cell_angle_alpha 90.00
_cell_angle_beta 90.00
_cell_angle_gamma 120.00
_space_group_name_H-M_alt 'R -3 m'
_space_group_IT_number 166
_space_group_name_Hall '-R 3 2"'
loop_
_atom_site_label
_atom_site_type_symbol
_atom_site_fract_x
_atom_site_fract_y
_atom_site_fract_z
_atom_site_occupancy
Y1 Y 0.0000 0.0000 0.2419 1
Bi1 Bi 0.0000 0.0000 0.0000 1
As1 As 0.0000 0.0000 0.5000 1
```

Summary:
Theoretical density (g cm⁻³): 6.83
Uncorrected energy (eV/atom): -6.568
Calculated formation energy (eV per atom): -1.203

Record 8
## YBiAs2 (PBE-GGA)

Data for a relaxed structure of YBiAs2.

Geometry as CIF:
```
data_YBiAs2
_cell_length_a 4.1949
_cell_length_b 4.1949
_cell_length_c 20.7414
_cell_angle_alpha 90.00
_cell_angle_beta 90.00
_cell_angle_gamma 120.00
_space_group_name_H-M_alt 'R -3 m'
_space_group_IT_number 166
_space_group_name_Hall '-R 3 2"'
loop_
_atom_site_label
_atom_site_type_symbol
_atom_site_fract_x
_atom_site_fract_y
_atom_site_fract_z
_atom_site_occupancy
Y1 Y 0.0000 0.0000 0.0000 1
Bi1 Bi 0.0000 0.0000 0.5000 1
As1 As 0.0000 0.0000 0.2529 1
```

Summary:
Theoretical density (g cm⁻³): 7.06
Energy above the lowest structure with this stoichiometry (meV per atom): 0
Uncorrected energy (eV/atom): -5.591
Calculated formation energy (eV per atom): -0.680

Record 9
## YBiAs2 (PBE-GGA)

Data for a relaxed structure of YBiAs2.

Geometry as CIF:
```
data_YBiAs2
_cell_length_a 6.483
_cell_length_b 6.483
_cell_length_c 13.489
_cell_angle_alpha 90.00
_cell_angle_beta 90.00
_cell_angle_gamma 90.00
_space_group_name_H-M_alt 'I -4 2 d'
_space_group_IT_number 122
_space_group_name_Hall 'I -4 2bw'
loop_
_atom_site_label
_atom_site_type_symbol
_atom_site_fract_x
_atom_site_fract_y
_atom_site_fract_z
_atom_site_occupancy
Y1 Y 0.000 0.000 0.000 1
Bi1 Bi 0.000 0.000 0.500 1
As1 As 0.240 0.250 0.125 1
```

Summary:
Theoretical density (g cm⁻³): 5.25
Energy above the lowest structure with this stoichiometry (meV per atom): 290
Uncorrected energy (eV/atom): -5.301
Calculated formation energy (eV per atom): -0.390

Record 10
## Y4BiAs2 (PBE-GGA)

Data for a relaxed structure of Y4BiAs2.

Geometry as CIF:
```
data_Y4BiAs2
_cell_length_a 5.657
_cell_length_b 5.657
_cell_length_c 14.986
_cell_angle_alpha 90.00
_cell_angle_beta 90.00
_cell_angle_gamma 90.00
_space_group_name_H-M_alt 'I 4/m m m'
_space_group_IT_number 139
_space_group_name_Hall '-I 4 2'
loop_
_atom_site_label
_atom_site_type_symbol
_atom_site_fract_x
_atom_site_fract_y
_atom_site_fract_z
_atom_site_occupancy
Y1 Y 0.000 0.000 0.213 1
Y2 Y 0.000 0.500 0.000 1
Bi1 Bi 0.000 0.000 0.000 1
As1 As 0.000 0.000 0.392 1
```

Summary:
Theoretical density (g cm⁻³): 4.95
Energy above the lowest structure with this stoichiometry (meV per atom): 885
Uncorrected energy (eV/atom): -5.843
Calculated formation energy (eV per atom): -0.266

Record 11
## Y4Bi3As (PBE-GGA)

Data for a relaxed structure of Y4Bi3As.

Geometry as CIF:
```
data_Y4Bi3As
_cell_length_a 8.826
_cell_length_b 12.428
_cell_length_c 4.374
_cell_angle_alpha 90.00
_cell_angle_beta 90.00
_cell_angle_gamma 90.00
_space_group_name_H-M_alt 'C m m m'
_space_group_IT_number 65
_space_group_name_Hall '-C 2 2'
loop_
_atom_site_label
_atom_site_type_symbol
_atom_site_fract_x
_atom_site_fract_y
_atom_site_fract_z
_atom_site_occupancy
Y1 Y 0.000 0.241 0.000 1
Y2 Y 0.234 0.000 0.500 1
Bi1 Bi 0.000 0.500 0.000 1
Bi2 Bi 0.250 0.250 0.500 1
As1 As 0.000 0.000 0.000 1
```

Summary:
Theoretical density (g cm⁻³): 7.32
Uncorrected energy (eV/atom): -6.298
Calculated formation energy (eV per atom): -1.029

Record 12
## Y4BiAs2 (PBE-GGA)

Data for a relaxed structure of Y4BiAs2.

Geometry as CIF:
```
data_Y4BiAs2
_cell_length_a 4.203
_cell_length_b 13.494
_cell_length_c 13.817
_cell_angle_alpha 90.00
_cell_angle_beta 90.00
_cell_angle_gamma 90.00
_space_group_name_H-M_alt 'C m c m'
_space_group_IT_number 63
_space_group_name_Hall '-C 2c 2'
loop_
_atom_site_label
_atom_site_type_symbol
_atom_site_fract_x
_atom_site_fract_y
_atom_site_fract_z
_atom_site_occupancy
Y1 Y 0.000 0.000 0.000 1
Y2 Y 0.000 0.264 0.119 1
Y3 Y 0.000 0.436 0.750 1
Bi1 Bi 0.000 0.108 0.750 1
As1 As 0.000 0.366 0.558 1
```

Summary:
Theoretical density (g cm⁻³): 6.06
Energy above the lowest structure with this stoichiometry (meV per atom): 0
Uncorrected energy (eV/atom): -6.727
Calculated formation energy (eV per atom): -1.151